Arrangement one

Here is an optimized crystal structure of Rb3BaS from Alexandria via LeMat-Bulk. Energies are from PBE.

## Properties
For the volume, the calculation gives 100.8 A^3/atom. Its space group is No. 221.

a b c (Å): 7.958 7.958 7.958
angles (deg): 90.00 90.00 90.00
Fractional coordinates of all 5 atoms:
Rb (0.000, 0.500, 0.000)
Ba (0.000, 0.000, 0.000)
S (0.500, 0.500, 0.500)
Rb (0.000, 0.000, 0.500)
Rb (0.500, 0.000, 0.000)

Arrangement two

Here is an optimized crystal structure of Rb3BaS from Alexandria via LeMat-Bulk. Energies are from PBE.

## Properties
For the volume, the calculation gives 59.2 A^3/atom. Its space group is No. 221.

a b c (Å): 6.664 6.664 6.664
angles (deg): 90.00 90.00 90.00
Fractional coordinates of all 5 atoms:
Rb (0.500, 0.000, 0.000)
Rb (0.000, 0.000, 0.500)
S (0.000, 0.000, 0.000)
Rb (0.000, 0.500, 0.000)
Ba (0.500, 0.500, 0.500)

The calculated energies rank the structures as follows, beginning with the most stable: arrangement two, arrangement one.

Arrangement one

Here is an optimized crystal structure of RbBaS3 from Alexandria via LeMat-Bulk. Energies are from PBE.

## Properties
For the volume, the calculation gives 33.1 A^3/atom. Its space group is No. 221.

a b c (Å): 5.490 5.490 5.490
angles (deg): 90.00 90.00 90.00
Fractional coordinates of all 5 atoms:
S (0.500, 0.000, 0.000)
S (0.000, 0.000, 0.500)
Ba (0.500, 0.500, 0.500)
Rb (0.000, 0.000, 0.000)
S (0.000, 0.500, 0.000)

Arrangement two

Here is an optimized crystal structure of RbBaS3 from Alexandria via LeMat-Bulk. Energies are from PBE.

## Properties
For the volume, the calculation gives 43.4 A^3/atom. Its space group is No. 221.

a b c (Å): 6.010 6.010 6.010
angles (deg): 90.00 90.00 90.00
Fractional coordinates of all 5 atoms:
Rb (0.500, 0.500, 0.500)
S (0.000, 0.000, 0.500)
S (0.000, 0.500, 0.000)
S (0.500, 0.000, 0.000)
Ba (0.000, 0.000, 0.000)

The calculated energies rank the structures as follows, beginning with the most stable: arrangement two, arrangement one.

Arrangement one

Here is an optimized crystal structure of RbBaSb2 from Alexandria via LeMat-Bulk. Energies are from PBE.

## Properties
For the volume, the calculation gives 36.2 A^3/atom. Its space group is No. 123.

a b c (Å): 5.144 5.307 5.307
angles (deg): 90.00 90.00 90.00
Fractional coordinates of all 4 atoms:
Sb (0.000, 0.000, 0.500)
Sb (0.000, 0.500, 0.000)
Ba (0.500, 0.500, 0.500)
Rb (0.500, 0.000, 0.000)

Arrangement two

Here is an optimized crystal structure of RbBaSb2 from Alexandria via LeMat-Bulk. Energies are from PBE.

## Properties
For the volume, the calculation gives 50.8 A^3/atom. Its space group is No. 122.

a b c (Å): 5.913 5.913 12.350
angles (deg): 76.15 76.15 90.00
Fractional coordinates of all 8 atoms:
Sb (0.875, 0.005, 0.750)
Rb (0.250, 0.750, 0.500)
Sb (0.995, 0.625, 0.250)
Ba (0.750, 0.250, 0.500)
Rb (0.500, 0.500, 0.000)
Ba (0.000, 0.000, 0.000)
Sb (0.755, 0.125, 0.250)
Sb (0.375, 0.245, 0.750)

Arrangement three

Here is an optimized crystal structure of RbBaSb2 from Alexandria via LeMat-Bulk. Energies are from PBE.

## Properties
For the volume, the calculation gives 38.8 A^3/atom. Its space group is No. 225.

a b c (Å): 6.030 6.030 6.030
angles (deg): 60.00 60.00 60.00
Fractional coordinates of all 4 atoms:
Sb (0.250, 0.250, 0.250)
Ba (0.500, 0.500, 0.500)
Sb (0.750, 0.750, 0.750)
Rb (0.000, 0.000, 0.000)

The calculated energies rank the structures as follows, beginning with the most stable: arrangement one, arrangement three, arrangement two.

Arrangement one

Here is an optimized crystal structure of RbBa3Sb from Alexandria via LeMat-Bulk. Energies are from PBE.

## Properties
For the volume, the calculation gives 65.7 A^3/atom. Its space group is No. 221.

a b c (Å): 6.900 6.900 6.900
angles (deg): 90.00 90.00 90.00
Fractional coordinates of all 5 atoms:
Rb (0.500, 0.500, 0.500)
Ba (0.000, 0.500, 0.000)
Ba (0.500, 0.000, 0.000)
Ba (0.000, 0.000, 0.500)
Sb (0.000, 0.000, 0.000)

Arrangement two

Here is an optimized crystal structure of RbBa3Sb from Alexandria via LeMat-Bulk. Energies are from PBE.

## Properties
For the volume, the calculation gives 52.3 A^3/atom. Its space group is No. 221.

a b c (Å): 6.396 6.396 6.396
angles (deg): 90.00 90.00 90.00
Fractional coordinates of all 5 atoms:
Ba (0.500, 0.000, 0.000)
Ba (0.000, 0.500, 0.000)
Sb (0.500, 0.500, 0.500)
Ba (0.000, 0.000, 0.500)
Rb (0.000, 0.000, 0.000)

The calculated energies rank the structures as follows, beginning with the most stable: arrangement one, arrangement two.